# YLuGeIr (GGA-PBE, optimized geometry)
data_YLuGeIr
_chemical_formula_sum 'Y4 Lu4 Ge4 Ir4'
_cell_length_a 6.9471
_cell_length_b 6.9471
_cell_length_c 6.9471
_cell_angle_alpha 90.00
_cell_angle_beta 90.00
_cell_angle_gamma 90.00
_space_group_name_H-M_alt 'F -4 3 m'
_space_group_IT_number 216
_space_group_name_Hall 'F -4 2 3'
loop_
_atom_site_label
_atom_site_fract_x
_atom_site_fract_y
_atom_site_fract_z
Y1 0.0000 0.0000 0.0000
Lu1 0.0000 0.0000 0.5000
Ge1 0.2500 0.2500 0.2500
Ir1 0.2500 0.2500 0.7500
# Crystal system ... cubic
# ΔH_f (0 K) ... -0.72 eV per atom
# DOS at the Fermi energy ... 11.082 states/eV/cell
# Total magnetic moment ... 0.00 μB/cell

---

# Mg4GeIr2 (GGA-PBE, optimized geometry)
data_Mg4GeIr2
_chemical_formula_sum 'Mg8 Ge2 Ir4'
_cell_length_a 4.9100
_cell_length_b 4.9100
_cell_length_c 12.9971
_cell_angle_alpha 90.00
_cell_angle_beta 90.00
_cell_angle_gamma 90.00
_space_group_name_H-M_alt 'I 4/m m m'
_space_group_IT_number 139
_space_group_name_Hall '-I 4 2'
loop_
_atom_site_label
_atom_site_fract_x
_atom_site_fract_y
_atom_site_fract_z
Mg1 0.0000 0.0000 0.2009
Mg2 0.0000 0.5000 0.0000
Ge1 0.0000 0.0000 0.0000
Ir1 0.0000 0.0000 0.4005
# Crystal system ... tetragonal
# ΔH_f (0 K) ... 0.46 eV per atom
# DOS at the Fermi energy ... 16.297 states/eV/cell
# Total magnetic moment ... 1.64 μB/cell

---

# MgGe2Ir (GGA-PBE, optimized geometry)
data_MgGe2Ir
_chemical_formula_sum 'Mg3 Ge6 Ir3'
_cell_length_a 3.1046
_cell_length_b 3.1046
_cell_length_c 27.5869
_cell_angle_alpha 90.00
_cell_angle_beta 90.00
_cell_angle_gamma 120.00
_space_group_name_H-M_alt 'R -3 m'
_space_group_IT_number 166
_space_group_name_Hall '-R 3 2"'
loop_
_atom_site_label
_atom_site_fract_x
_atom_site_fract_y
_atom_site_fract_z
Mg1 0.0000 0.0000 0.0000
Ge1 0.0000 0.0000 0.0991
Ir1 0.0000 0.0000 0.5000
# Crystal system ... trigonal
# ΔH_f (0 K) ... 0.03 eV per atom
# DOS at the Fermi energy ... 7.534 states/eV/cell
# Total magnetic moment ... 0.00 μB/cell

---

# Mg2Ge2Ir (GGA-PBE, optimized geometry)
data_Mg2Ge2Ir
_chemical_formula_sum 'Mg4 Ge4 Ir2'
_cell_length_a 6.4476
_cell_length_b 6.4476
_cell_length_c 4.2078
_cell_angle_alpha 90.00
_cell_angle_beta 90.00
_cell_angle_gamma 90.00
_space_group_name_H-M_alt 'P 4/m b m'
_space_group_IT_number 127
_space_group_name_Hall '-P 4 2ab'
loop_
_atom_site_label
_atom_site_fract_x
_atom_site_fract_y
_atom_site_fract_z
Mg1 0.1769 0.3231 0.0000
Ge1 0.1359 0.6359 0.5000
Ir1 0.0000 0.0000 0.5000
# Crystal system ... tetragonal
# ΔH_f (0 K) ... -0.35 eV per atom
# DOS at the Fermi energy ... 1.757 states/eV/cell
# Total magnetic moment ... 0.00 μB/cell

---

# MgGe2Ir (GGA-PBE, optimized geometry)
data_MgGe2Ir
_chemical_formula_sum 'Mg4 Ge8 Ir4'
_cell_length_a 6.2060
_cell_length_b 6.2060
_cell_length_c 10.4704
_cell_angle_alpha 90.00
_cell_angle_beta 90.00
_cell_angle_gamma 90.00
_space_group_name_H-M_alt 'I -4 2 d'
_space_group_IT_number 122
_space_group_name_Hall 'I -4 2bw'
loop_
_atom_site_label
_atom_site_fract_x
_atom_site_fract_y
_atom_site_fract_z
Mg1 0.0000 0.0000 0.0000
Ge1 0.1955 0.2500 0.6250
Ir1 0.0000 0.0000 0.5000
# Crystal system ... tetragonal
# ΔH_f (0 K) ... 0.20 eV per atom
# DOS at the Fermi energy ... 7.695 states/eV/cell
# Total magnetic moment ... 0.00 μB/cell

---

# MgGeIr2 (GGA-PBE, optimized geometry)
data_MgGeIr2
_chemical_formula_sum 'Mg4 Ge4 Ir8'
_cell_length_a 7.1031
_cell_length_b 7.1031
_cell_length_c 5.4727
_cell_angle_alpha 90.00
_cell_angle_beta 90.00
_cell_angle_gamma 90.00
_space_group_name_H-M_alt 'I -4 2 d'
_space_group_IT_number 122
_space_group_name_Hall 'I -4 2bw'
loop_
_atom_site_label
_atom_site_fract_x
_atom_site_fract_y
_atom_site_fract_z
Mg1 0.0000 0.0000 0.0000
Ge1 0.0000 0.0000 0.5000
Ir1 0.1992 0.2500 0.6250
# Crystal system ... tetragonal
# ΔH_f (0 K) ... 0.08 eV per atom
# DOS at the Fermi energy ... 2.336 states/eV/cell
# Total magnetic moment ... 0.00 μB/cell

---

# Mg2Ge2Ir (GGA-PBE, optimized geometry)
data_Mg2Ge2Ir
_chemical_formula_sum 'Mg4 Ge4 Ir2'
_cell_length_a 4.1816
_cell_length_b 5.1189
_cell_length_c 8.4346
_cell_angle_alpha 90.00
_cell_angle_beta 90.00
_cell_angle_gamma 90.00
_space_group_name_H-M_alt 'I m m m'
_space_group_IT_number 71
_space_group_name_Hall '-I 2 2'
loop_
_atom_site_label
_atom_site_fract_x
_atom_site_fract_y
_atom_site_fract_z
Mg1 0.0000 0.0000 0.2027
Ge1 0.0000 0.2667 0.5000
Ir1 0.0000 0.5000 0.0000
# Crystal system ... orthorhombic
# ΔH_f (0 K) ... -0.25 eV per atom
# DOS at the Fermi energy ... 3.527 states/eV/cell
# Total magnetic moment ... 0.00 μB/cell

---

# Mg2Ge2Ir3 (GGA-PBE, optimized geometry)
data_Mg2Ge2Ir3
_chemical_formula_sum 'Mg2 Ge2 Ir3'
_cell_length_a 4.3168
_cell_length_b 4.3259
_cell_length_c 7.4513
_cell_angle_alpha 106.74
_cell_angle_beta 90.04
_cell_angle_gamma 119.92
_space_group_name_H-M_alt 'P -1'
_space_group_IT_number 2
_space_group_name_Hall '-P 1'
loop_
_atom_site_label
_atom_site_fract_x
_atom_site_fract_y
_atom_site_fract_z
Mg1 0.1312 0.2629 0.3942
Ge1 0.3912 0.7837 0.1730
Ir1 0.0000 0.0000 0.0000
Ir2 0.2644 0.5267 0.7926
# Crystal system ... triclinic
# ΔH_f (0 K) ... -0.39 eV per atom
# DOS at the Fermi energy ... 3.180 states/eV/cell
# Total magnetic moment ... 0.00 μB/cell

---

# MgGeIr2 (GGA-PBE, optimized geometry)
data_MgGeIr2
_chemical_formula_sum 'Mg1 Ge1 Ir2'
_cell_length_a 4.2687
_cell_length_b 4.2687
_cell_length_c 3.1968
_cell_angle_alpha 90.00
_cell_angle_beta 90.00
_cell_angle_gamma 90.00
_space_group_name_H-M_alt 'P 4/m m m'
_space_group_IT_number 123
_space_group_name_Hall '-P 4 2'
loop_
_atom_site_label
_atom_site_fract_x
_atom_site_fract_y
_atom_site_fract_z
Mg1 0.0000 0.0000 0.0000
Ge1 0.5000 0.5000 0.0000
Ir1 0.0000 0.5000 0.5000
# Crystal system ... tetragonal
# ΔH_f (0 K) ... -0.34 eV per atom
# DOS at the Fermi energy ... 1.318 states/eV/cell
# Total magnetic moment ... 0.00 μB/cell

---

# MgGe7Ir3 (GGA-PBE, optimized geometry)
data_MgGe7Ir3
_chemical_formula_sum 'Mg6 Ge42 Ir18'
_cell_length_a 7.8709
_cell_length_b 7.8709
_cell_length_c 20.9913
_cell_angle_alpha 90.00
_cell_angle_beta 90.00
_cell_angle_gamma 120.00
_space_group_name_H-M_alt 'R -3 c'
_space_group_IT_number 167
_space_group_name_Hall '-R 3 2"c'
loop_
_atom_site_label
_atom_site_fract_x
_atom_site_fract_y
_atom_site_fract_z
Mg1 0.0000 0.0000 0.0000
Ge1 0.0000 0.0000 0.2500
Ge2 0.0143 0.2106 0.1366
Ir1 0.0000 0.3224 0.2500
# Crystal system ... trigonal
# ΔH_f (0 K) ... -0.26 eV per atom
# DOS at the Fermi energy ... 21.639 states/eV/cell
# Total magnetic moment ... 0.00 μB/cell

---

# MgGe2Ir (GGA-PBE, optimized geometry)
data_MgGe2Ir
_chemical_formula_sum 'Mg8 Ge16 Ir8'
_cell_length_a 14.4961
_cell_length_b 7.6113
_cell_length_c 5.0408
_cell_angle_alpha 90.00
_cell_angle_beta 90.00
_cell_angle_gamma 90.00
_space_group_name_H-M_alt 'P n m a'
_space_group_IT_number 62
_space_group_name_Hall '-P 2ac 2n'
loop_
_atom_site_label
_atom_site_fract_x
_atom_site_fract_y
_atom_site_fract_z
Mg1 0.1062 0.2500 0.2464
Mg2 0.1455 0.7500 0.4733
Ge1 0.0326 0.0454 0.7458
Ge2 0.2134 0.5451 0.9737
Ir1 0.0751 0.7500 0.9760
Ir2 0.1742 0.2500 0.7421
# Crystal system ... orthorhombic
# ΔH_f (0 K) ... -0.32 eV per atom
# DOS at the Fermi energy ... 13.608 states/eV/cell
# Total magnetic moment ... 0.00 μB/cell

---

# MgGeIr2 (GGA-PBE, optimized geometry)
data_MgGeIr2
_chemical_formula_sum 'Mg1 Ge1 Ir2'
_cell_length_a 3.0888
_cell_length_b 3.0888
_cell_length_c 6.2110
_cell_angle_alpha 90.00
_cell_angle_beta 90.00
_cell_angle_gamma 90.00
_space_group_name_H-M_alt 'P 4/m m m'
_space_group_IT_number 123
_space_group_name_Hall '-P 4 2'
loop_
_atom_site_label
_atom_site_fract_x
_atom_site_fract_y
_atom_site_fract_z
Mg1 0.0000 0.0000 0.0000
Ge1 0.0000 0.0000 0.5000
Ir1 0.5000 0.5000 0.2649
# Crystal system ... tetragonal
# ΔH_f (0 K) ... -0.31 eV per atom
# DOS at the Fermi energy ... 1.971 states/eV/cell
# Total magnetic moment ... 0.00 μB/cell

---

# Mg3Ge4Ir4 (GGA-PBE, optimized geometry)
data_Mg3Ge4Ir4
_chemical_formula_sum 'Mg6 Ge8 Ir8'
_cell_length_a 3.0267
_cell_length_b 8.1481
_cell_length_c 14.6303
_cell_angle_alpha 90.00
_cell_angle_beta 90.00
_cell_angle_gamma 90.00
_space_group_name_H-M_alt 'I m m m'
_space_group_IT_number 71
_space_group_name_Hall '-I 2 2'
loop_
_atom_site_label
_atom_site_fract_x
_atom_site_fract_y
_atom_site_fract_z
Mg1 0.0000 0.0000 0.0000
Mg2 0.0000 0.5000 0.0987
Ge1 0.0000 0.2874 0.3351
Ir1 0.0000 0.0000 0.2390
Ir2 0.0000 0.2246 0.5000
# Crystal system ... orthorhombic
# ΔH_f (0 K) ... -0.39 eV per atom
# DOS at the Fermi energy ... 6.865 states/eV/cell
# Total magnetic moment ... 0.00 μB/cell

---

# Mg2MnGe2Ir5 (GGA-PBE, optimized geometry)
data_Mg2MnGe2Ir5
_chemical_formula_sum 'Mg4 Mn2 Ge4 Ir10'
_cell_length_a 9.3586
_cell_length_b 9.3586
_cell_length_c 3.6005
_cell_angle_alpha 90.00
_cell_angle_beta 90.00
_cell_angle_gamma 90.00
_space_group_name_H-M_alt 'P 4/m b m'
_space_group_IT_number 127
_space_group_name_Hall '-P 4 2ab'
loop_
_atom_site_label
_atom_site_fract_x
_atom_site_fract_y
_atom_site_fract_z
Mg1 0.1696 0.3304 0.0000
Mn1 0.0000 0.0000 0.0000
Ge1 0.1316 0.6316 0.0000
Ir1 0.0000 0.5000 0.5000
Ir2 0.0684 0.8027 0.5000
# Crystal system ... tetragonal
# ΔH_f (0 K) ... -0.22 eV per atom
# DOS at the Fermi energy ... 16.093 states/eV/cell
# Total magnetic moment ... 7.23 μB/cell

---

# NaMg2GeIr (GGA-PBE, optimized geometry)
data_NaMg2GeIr
_chemical_formula_sum 'Na1 Mg2 Ge1 Ir1'
_cell_length_a 5.0999
_cell_length_b 5.0999
_cell_length_c 4.7110
_cell_angle_alpha 90.00
_cell_angle_beta 90.00
_cell_angle_gamma 90.00
_space_group_name_H-M_alt 'P 4/m m m'
_space_group_IT_number 123
_space_group_name_Hall '-P 4 2'
loop_
_atom_site_label
_atom_site_fract_x
_atom_site_fract_y
_atom_site_fract_z
Na1 0.0000 0.0000 0.0000
Mg1 0.0000 0.5000 0.5000
Ge1 0.5000 0.5000 0.0000
Ir1 0.5000 0.5000 0.5000
# Crystal system ... tetragonal
# ΔH_f (0 K) ... -0.21 eV per atom
# DOS at the Fermi energy ... 1.980 states/eV/cell
# Total magnetic moment ... 0.00 μB/cell

---

# Nd2MgGe3Ir4 (GGA-PBE, optimized geometry)
data_Nd2MgGe3Ir4
_chemical_formula_sum 'Nd2 Mg1 Ge3 Ir4'
_cell_length_a 4.1944
_cell_length_b 4.1944
_cell_length_c 10.7477
_cell_angle_alpha 90.00
_cell_angle_beta 90.00
_cell_angle_gamma 90.00
_space_group_name_H-M_alt 'P -4 m 2'
_space_group_IT_number 115
_space_group_name_Hall 'P -4 -2'
loop_
_atom_site_label
_atom_site_fract_x
_atom_site_fract_y
_atom_site_fract_z
Nd1 0.0000 0.5000 0.2441
Mg1 0.0000 0.0000 0.5000
Ge1 0.0000 0.5000 0.8730
Ge2 0.5000 0.5000 0.5000
Ir1 0.0000 0.0000 0.0000
Ir2 0.0000 0.5000 0.6433
Ir3 0.5000 0.5000 0.0000
# Crystal system ... tetragonal
# ΔH_f (0 K) ... -0.72 eV per atom
# DOS at the Fermi energy ... 5.990 states/eV/cell
# Total magnetic moment ... 0.00 μB/cell

---

# NdMg2GeIr2 (GGA-PBE, optimized geometry)
data_NdMg2GeIr2
_chemical_formula_sum 'Nd1 Mg2 Ge1 Ir2'
_cell_length_a 4.6885
_cell_length_b 4.6885
_cell_length_c 5.9826
_cell_angle_alpha 90.00
_cell_angle_beta 90.00
_cell_angle_gamma 90.00
_space_group_name_H-M_alt 'P 4/m m m'
_space_group_IT_number 123
_space_group_name_Hall '-P 4 2'
loop_
_atom_site_label
_atom_site_fract_x
_atom_site_fract_y
_atom_site_fract_z
Nd1 0.0000 0.0000 0.0000
Mg1 0.5000 0.5000 0.2509
Ge1 0.0000 0.0000 0.5000
Ir1 0.0000 0.5000 0.5000
# Crystal system ... tetragonal
# ΔH_f (0 K) ... -0.17 eV per atom
# DOS at the Fermi energy ... 5.796 states/eV/cell
# Total magnetic moment ... 0.78 μB/cell

---

# NdMg2Ge2Ir (GGA-PBE, optimized geometry)
data_NdMg2Ge2Ir
_chemical_formula_sum 'Nd2 Mg4 Ge4 Ir2'
_cell_length_a 4.1742
_cell_length_b 4.1742
_cell_length_c 16.7386
_cell_angle_alpha 90.00
_cell_angle_beta 90.00
_cell_angle_gamma 90.00
_space_group_name_H-M_alt 'I 4/m m m'
_space_group_IT_number 139
_space_group_name_Hall '-I 4 2'
loop_
_atom_site_label
_atom_site_fract_x
_atom_site_fract_y
_atom_site_fract_z
Nd1 0.0000 0.0000 0.0000
Mg1 0.0000 0.5000 0.2500
Ge1 0.0000 0.0000 0.3570
Ir1 0.0000 0.0000 0.5000
# Crystal system ... tetragonal
# ΔH_f (0 K) ... -0.21 eV per atom
# DOS at the Fermi energy ... 6.210 states/eV/cell
# Total magnetic moment ... 0.00 μB/cell

---

# Nd2MgGe4Ir3 (GGA-PBE, optimized geometry)
data_Nd2MgGe4Ir3
_chemical_formula_sum 'Nd2 Mg1 Ge4 Ir3'
_cell_length_a 4.3034
_cell_length_b 4.3034
_cell_length_c 10.4532
_cell_angle_alpha 90.00
_cell_angle_beta 90.00
_cell_angle_gamma 90.00
_space_group_name_H-M_alt 'P -4 m 2'
_space_group_IT_number 115
_space_group_name_Hall 'P -4 -2'
loop_
_atom_site_label
_atom_site_fract_x
_atom_site_fract_y
_atom_site_fract_z
Nd1 0.0000 0.5000 0.2363
Mg1 0.0000 0.0000 0.5000
Ge1 0.0000 0.0000 0.0000
Ge2 0.0000 0.5000 0.6445
Ge3 0.5000 0.5000 0.0000
Ir1 0.0000 0.5000 0.8790
Ir2 0.5000 0.5000 0.5000
# Crystal system ... tetragonal
# ΔH_f (0 K) ... -0.70 eV per atom
# DOS at the Fermi energy ... 4.648 states/eV/cell
# Total magnetic moment ... 0.00 μB/cell

---

# MgNpGeIr (GGA-PBE, optimized geometry)
data_MgNpGeIr
_chemical_formula_sum 'Mg4 Np4 Ge4 Ir4'
_cell_length_a 6.7207
_cell_length_b 6.7207
_cell_length_c 6.7207
_cell_angle_alpha 90.00
_cell_angle_beta 90.00
_cell_angle_gamma 90.00
_space_group_name_H-M_alt 'F -4 3 m'
_space_group_IT_number 216
_space_group_name_Hall 'F -4 2 3'
loop_
_atom_site_label
_atom_site_fract_x
_atom_site_fract_y
_atom_site_fract_z
Mg1 0.0000 0.0000 0.0000
Np1 0.0000 0.0000 0.5000
Ge1 0.2500 0.2500 0.2500
Ir1 0.2500 0.2500 0.7500
# Crystal system ... cubic
# ΔH_f (0 K) ... -0.19 eV per atom
# DOS at the Fermi energy ... 22.486 states/eV/cell
# Total magnetic moment ... 14.59 μB/cell

---

# MgNp2Ge4Ir3 (GGA-PBE, optimized geometry)
data_MgNp2Ge4Ir3
_chemical_formula_sum 'Mg1 Np2 Ge4 Ir3'
_cell_length_a 4.2040
_cell_length_b 4.2040
_cell_length_c 10.5876
_cell_angle_alpha 90.00
_cell_angle_beta 90.00
_cell_angle_gamma 90.00
_space_group_name_H-M_alt 'P -4 m 2'
_space_group_IT_number 115
_space_group_name_Hall 'P -4 -2'
loop_
_atom_site_label
_atom_site_fract_x
_atom_site_fract_y
_atom_site_fract_z
Mg1 0.0000 0.0000 0.0000
Np1 0.0000 0.5000 0.7380
Ge1 0.0000 0.0000 0.5000
Ge2 0.0000 0.5000 0.1443
Ge3 0.5000 0.5000 0.5000
Ir1 0.0000 0.5000 0.3738
Ir2 0.5000 0.5000 0.0000
# Crystal system ... tetragonal
# ΔH_f (0 K) ... -0.35 eV per atom
# DOS at the Fermi energy ... 23.181 states/eV/cell
# Total magnetic moment ... 7.64 μB/cell

---

# Mg2GeIrO6 (GGA-PBE, optimized geometry)
data_Mg2GeIrO6
_chemical_formula_sum 'Mg2 Ge1 Ir1 O6'
_cell_length_a 5.5133
_cell_length_b 5.5133
_cell_length_c 3.9183
_cell_angle_alpha 90.00
_cell_angle_beta 90.00
_cell_angle_gamma 90.00
_space_group_name_H-M_alt 'P 4 m m'
_space_group_IT_number 99
_space_group_name_Hall 'P 4 -2'
loop_
_atom_site_label
_atom_site_fract_x
_atom_site_fract_y
_atom_site_fract_z
Mg1 0.0000 0.5000 0.0000
Ge1 0.0000 0.0000 0.6980
Ir1 0.5000 0.5000 0.7304
O1 0.0000 0.0000 0.2492
O2 0.2410 0.2410 0.8060
O3 0.5000 0.5000 0.2367
# E_form (uncorrected) ... -1.380 eV/atom
# Crystal system ... tetragonal
# DOS at the Fermi energy ... 3.591 states/eV/cell
# Total magnetic moment ... 0.27 μB/cell